1.
Material: Nd2HoS
Method: DFT, PBE-GGA
State: relaxed

a = 9.792 Å, b = 9.792 Å, c = 9.792 Å
α = 22.67°, β = 22.67°, γ = 22.67°
Element x y z (fractional)
Nd: 0.229 0.229 0.229
Nd: 0.771 0.771 0.771
Ho: 0.000 0.000 0.000
S: 0.500 0.500 0.500

Computed properties:
Fermi-level density of states = 4.589 states/eV/f.u.
final energy = -5.43 eV per atom
uncorrected formation energy = -866 meV/atom
space-group type = R-3m

2.
Material: NdHo2S4
Method: DFT, PBE-GGA
State: relaxed

a = 6.746 Å, b = 6.746 Å, c = 13.191 Å
α = 90.00°, β = 90.00°, γ = 146.77°
Element x y z (fractional)
Nd: 0.124 0.876 0.750
Nd: 0.876 0.124 0.250
Ho: 0.370 0.630 0.568
Ho: 0.370 0.630 0.932
Ho: 0.630 0.370 0.068
Ho: 0.630 0.370 0.432
S: 0.000 0.000 0.000
S: 0.000 0.000 0.500
S: 0.273 0.727 0.119
S: 0.273 0.727 0.381
S: 0.462 0.538 0.750
S: 0.538 0.462 0.250
S: 0.727 0.273 0.619
S: 0.727 0.273 0.881

Computed properties:
Fermi-level density of states = 1.460 states/eV/f.u.
final energy = -6.42 eV per atom
uncorrected formation energy = -2069 meV/atom
space-group type = Cmcm
offset from the most stable computed form = 0.000 eV per atom

3.
Material: NdHo6S8
Method: DFT, PBE-GGA
State: relaxed

a = 7.779 Å, b = 7.779 Å, c = 7.779 Å
α = 60.00°, β = 60.00°, γ = 60.00°
Element x y z (fractional)
Nd: 0.000 0.000 0.000
Ho: 0.000 0.000 0.500
Ho: 0.000 0.500 0.000
Ho: 0.000 0.500 0.500
Ho: 0.500 0.000 0.000
Ho: 0.500 0.000 0.500
Ho: 0.500 0.500 0.000
S: 0.250 0.250 0.250
S: 0.259 0.259 0.741
S: 0.259 0.741 0.259
S: 0.259 0.741 0.741
S: 0.741 0.259 0.259
S: 0.741 0.259 0.741
S: 0.741 0.741 0.259
S: 0.750 0.750 0.750

Computed properties:
Fermi-level density of states = 5.671 states/eV/f.u.
final energy = -6.37 eV per atom
uncorrected formation energy = -2021 meV/atom
space-group type = Fm-3m

4.
Material: Nd6HoS8
Method: DFT, PBE-GGA
State: relaxed

a = 8.121 Å, b = 8.121 Å, c = 8.121 Å
α = 98.42°, β = 98.42°, γ = 98.42°
Element x y z (fractional)
Nd: 0.054 0.680 0.854
Nd: 0.146 0.946 0.320
Nd: 0.320 0.146 0.946
Nd: 0.680 0.854 0.054
Nd: 0.854 0.054 0.680
Nd: 0.946 0.320 0.146
Ho: 0.500 0.500 0.500
S: 0.082 0.344 0.845
S: 0.155 0.918 0.656
S: 0.280 0.280 0.280
S: 0.344 0.845 0.082
S: 0.656 0.155 0.918
S: 0.720 0.720 0.720
S: 0.845 0.082 0.344
S: 0.918 0.656 0.155

Computed properties:
Fermi-level density of states = 7.824 states/eV/f.u.
final energy = -6.06 eV per atom
uncorrected formation energy = -1642 meV/atom
space-group type = R-3
offset from the most stable computed form = 0.410 eV per atom

5.
Material: Nd3HoS
Method: DFT, PBE-GGA
State: relaxed

a = 5.491 Å, b = 5.491 Å, c = 5.491 Å
α = 90.00°, β = 90.00°, γ = 90.00°
Element x y z (fractional)
Nd: 0.000 0.000 0.500
Nd: 0.000 0.500 0.000
Nd: 0.500 0.000 0.000
Ho: 0.500 0.500 0.500
S: 0.000 0.000 0.000

Computed properties:
Fermi-level density of states = 5.444 states/eV/f.u.
final energy = -5.26 eV per atom
uncorrected formation energy = -660 meV/atom
space-group type = Pm-3m

6.
Material: Nd4HoS5
Method: DFT, PBE-GGA
State: relaxed

a = 14.576 Å, b = 14.576 Å, c = 14.576 Å
α = 164.10°, β = 164.10°, γ = 22.56°
Element x y z (fractional)
Nd: 0.101 0.101 0.000
Nd: 0.303 0.303 0.000
Nd: 0.697 0.697 0.000
Nd: 0.899 0.899 0.000
Ho: 0.500 0.500 0.000
S: 0.000 0.000 0.000
S: 0.202 0.202 0.000
S: 0.404 0.404 0.000
S: 0.596 0.596 0.000
S: 0.798 0.798 0.000

Computed properties:
Fermi-level density of states = 3.991 states/eV/f.u.
final energy = -6.43 eV per atom
uncorrected formation energy = -2003 meV/atom
space-group type = I4/mmm

Which of these has the highest uncorrected formation energy? Nd3HoS

Which value of uncorrected formation energy does entry 3 give? -2021 meV/atom

Which formula does entry 5 have? Nd3HoS

What is the final energy in the third record? -6.37 eV per atom